## InAg4Au7 (PBE-GGA)

Data for an optimized crystal structure of InAg4Au7.

Calculated values
Crystal system: monoclinic
DOS at the Fermi energy, states/eV/atom: 0.313

a b c (Å): 10.436 5.156 10.246
angles (deg): 90.00 118.76 90.00
Space group C2/m (No. 12)
Inequivalent atoms, fractional coordinates:
1 In 0.000 0.000 0.000
2 Ag 0.084 0.500 0.314
3 Ag 0.178 0.000 0.771
4 Au 0.000 0.500 0.000
5 Au 0.116 0.000 0.464
6 Au 0.163 0.500 0.620
7 Au 0.211 0.500 0.914

## ZrRe2Si (PBE-GGA)

Data for an optimized crystal structure of ZrRe2Si.

Calculated values
E_form (uncorrected), eV per formula unit: -0.14
Crystal system: tetragonal
DOS at the Fermi energy, states/eV/atom: 0.982

a b c (Å): 4.045 4.045 3.886
angles (deg): 90.00 90.00 90.00
Space group P4/mmm (No. 123)
Inequivalent atoms, fractional coordinates:
1 Zr 0.000 0.000 0.000
2 Re 0.000 0.500 0.500
3 Si 0.500 0.500 0.000

## Cs3CeSc2S6 (PBE-GGA)

Data for an optimized crystal structure of Cs3CeSc2S6.

Calculated values
E_form (uncorrected), eV per formula unit: -20.26
Crystal system: monoclinic
DOS at the Fermi energy, states/eV/atom: 0.393

a b c (Å): 6.970 12.069 8.333
angles (deg): 90.00 106.21 90.00
Space group C2/m (No. 12)
Inequivalent atoms, fractional coordinates:
1 Cs 0.000 0.000 0.000
2 Cs 0.000 0.335 0.000
3 Ce 0.000 0.500 0.500
4 Sc 0.000 0.167 0.500
5 S 0.206 0.000 0.676
6 S 0.235 0.324 0.677

| no. | DFT total energy (eV/atom) | calculated density (Mg/m³) |
| --- | --- | --- |
| 1 | -3.03 | 13.23 |
| 2 | -9.75 | 12.84 |
| 3 | -5.52 | 4.05 |